[1]
{
  "formula": "NaNi2GeOs",
  "functional": "PBE",
  "state": "optimized geometry",
  "lattice_angstrom": [[-3.031, -2.473, -2.273], [2.924, -4.194, 0.666], [-2.169, -0.898, 3.868]],
  "species": ["Ni", "Os", "Ni", "Ge", "Na"],
  "fractional_positions": [[0.500, 0.000, 0.000], [0.000, 0.000, 0.000], [0.000, 0.000, 0.500], [0.500, 0.500, 0.500], [0.000, 0.500, 0.000]],
  "ef_mev_per_atom": 1356.4,
  "mass_density_g_cm3": 6.34,
  "m_tot_mub_per_cell": 0.00
}

***

[2]
{
  "formula": "NaNi2GePd",
  "functional": "PBE",
  "state": "optimized geometry",
  "lattice_angstrom": [[-1.620, 2.673, -2.948], [-4.385, -0.999, 1.504], [0.227, 3.240, 2.813]],
  "species": ["Ni", "Pd", "Ge", "Na", "Ni"],
  "fractional_positions": [[0.500, 0.000, 0.000], [0.500, 0.500, 0.500], [0.000, 0.500, 0.000], [0.000, 0.000, 0.000], [0.000, 0.000, 0.500]],
  "ef_mev_per_atom": 1414.3,
  "mass_density_g_cm3": 6.06,
  "m_tot_mub_per_cell": 0.00
}

***

[3]
{
  "formula": "NaNiGe2Pd",
  "functional": "PBE",
  "state": "optimized geometry",
  "lattice_angstrom": [[4.207, 0.000, 0.000], [0.000, 4.207, 0.000], [-2.103, -2.103, 5.082]],
  "species": ["Ni", "Pd", "Na", "Ge", "Ge"],
  "fractional_positions": [[0.250, 0.750, 0.500], [0.750, 0.250, 0.500], [0.000, 0.000, 0.000], [0.626, 0.626, 0.253], [0.374, 0.374, 0.747]],
  "ef_mev_per_atom": -297.9,
  "mass_density_g_cm3": 6.16,
  "m_tot_mub_per_cell": 0.00
}

***

[4]
{
  "formula": "Na2NiGe4Pt3",
  "functional": "PBE",
  "state": "optimized geometry",
  "lattice_angstrom": [[-1.280, -2.250, -3.351], [3.979, -0.115, -1.443], [1.654, -8.780, 5.263]],
  "species": ["Pt", "Pt", "Ge", "Na", "Ge", "Ge", "Ni", "Ge", "Pt", "Na"],
  "fractional_positions": [[0.000, 0.500, 0.135], [0.000, 0.000, 0.500], [0.000, 0.000, 0.000], [0.000, 0.500, 0.742], [0.500, 0.000, 0.624], [0.000, 0.500, 0.376], [0.500, 0.500, 0.500], [0.500, 0.500, 0.000], [0.500, 0.000, 0.865], [0.500, 0.000, 0.258]],
  "ef_mev_per_atom": -412.6,
  "mass_density_g_cm3": 8.76,
  "m_tot_mub_per_cell": 0.00
}

***

[5]
{
  "formula": "NaNiGe2Rh",
  "functional": "PBE",
  "state": "optimized geometry",
  "lattice_angstrom": [[4.004, 0.000, 0.000], [0.000, 4.004, 0.000], [-2.002, -2.002, 5.362]],
  "species": ["Rh", "Ni", "Na", "Ge", "Ge"],
  "fractional_positions": [[0.750, 0.250, 0.500], [0.250, 0.750, 0.500], [0.000, 0.000, 0.000], [0.377, 0.377, 0.755], [0.623, 0.623, 0.245]],
  "ef_mev_per_atom": -359.2,
  "mass_density_g_cm3": 6.37,
  "m_tot_mub_per_cell": 0.00
}

***

[6]
{
  "formula": "Na2NiGeS4",
  "functional": "PBE",
  "state": "optimized geometry",
  "lattice_angstrom": [[-2.121, 2.756, 5.232], [-3.235, -3.006, 4.043], [3.216, 0.049, 5.050]],
  "species": ["S", "S", "Na", "S", "Ge", "Ni", "Na", "S"],
  "fractional_positions": [[0.095, 0.322, 0.000], [0.905, 0.000, 0.678], [0.500, 0.500, 0.500], [0.417, 0.678, 0.000], [0.500, 0.000, 0.000], [0.000, 0.000, 0.000], [0.000, 0.500, 0.500], [0.583, 0.000, 0.322]],
  "mass_density_g_cm3": 3.11,
  "formation_energy_uncorrected_ev_per_atom": -0.591,
  "m_tot_mub_per_cell": 2.00
}

***

[7]
{
  "formula": "NaSr2NiGe",
  "functional": "PBE",
  "state": "optimized geometry",
  "lattice_angstrom": [[-1.946, 4.709, 2.968], [-5.186, -0.391, -2.779], [-1.549, -2.702, 3.271]],
  "species": ["Sr", "Na", "Sr", "Ge", "Ni"],
  "fractional_positions": [[0.500, 0.000, 0.000], [0.500, 0.500, 0.500], [0.000, 0.500, 0.000], [0.000, 0.000, 0.500], [0.000, 0.000, 0.000]],
  "ef_mev_per_atom": -198.1,
  "mass_density_g_cm3": 3.48,
  "m_tot_mub_per_cell": 0.00
}

***

[8]
{
  "formula": "NaTaNi2Ge",
  "functional": "PBE",
  "state": "optimized geometry",
  "lattice_angstrom": [[-1.196, 1.449, 3.712], [-3.965, -0.812, -0.961], [0.467, -4.577, 1.937]],
  "species": ["Ta", "Ni", "Ni", "Ge", "Na"],
  "fractional_positions": [[0.000, 0.000, 0.500], [0.500, 0.000, 0.000], [0.000, 0.500, 0.000], [0.500, 0.500, 0.500], [0.000, 0.000, 0.000]],
  "ef_mev_per_atom": 1686.6,
  "mass_density_g_cm3": 7.57,
  "m_tot_mub_per_cell": 0.00
}